(1)
Below is a relaxed structure of LiNiH, with properties calculated at the GGA-PBE level.

```
LiNiH
1.0
-1.244 1.244 4.588
1.244 -1.244 4.588
1.244 1.244 -4.588
Li Ni H
1 1 1
Cartesian
0.000 0.000 0.000
0.000 0.000 2.585
0.000 0.000 4.133
```

Values from the calculation:
theoretical density = 3.894 g/cm3
SG = I4mm (107)
DFT total energy = -3.587 eV/atom
volume = 28.4 Å³ per cell
magnetic moment = 0.0 Bohr magnetons per cell

(2)
Below is a relaxed structure of Tm6Zn2Bi, with properties calculated at the GGA-PBE level.

```
Tm6Zn2Bi
1.0
-4.613 4.765 5.471
4.613 -4.765 5.471
4.613 4.765 -5.471
Tm Zn Bi
12 4 2
Cartesian
4.613 2.821 -2.966
2.683 1.841 0.000
6.542 1.841 0.000
1.788 4.765 -2.002
2.825 0.000 3.469
0.000 1.944 2.505
4.613 2.821 2.966
1.788 4.765 2.002
2.825 0.000 7.472
-1.930 2.924 5.471
1.930 2.924 5.471
0.000 1.944 8.436
4.613 0.000 1.271
0.000 3.395 0.000
0.000 6.134 0.000
0.000 4.765 4.199
0.000 0.000 0.000
0.000 0.000 5.471
```

Values from the calculation:
theoretical density = 9.346 g/cm3
SG = Immm (71)
DFT total energy = -3.982 eV/atom
volume = 481.0 Å³ per cell
formation energy = -2.58 eV/f.u.
magnetic moment = 0.0 Bohr magnetons per cell

(3)
Below is a relaxed structure of GeRhS2N, with properties calculated at the GGA-PBE level.

```
GeRhS2N
1.0
4.804 0.000 0.000
0.000 4.804 0.000
0.000 0.000 3.477
Ge Rh S N
1 1 2 1
Cartesian
0.000 0.000 0.000
2.402 2.402 1.739
0.000 2.402 0.000
2.402 0.000 0.000
0.000 0.000 1.739
```

Values from the calculation:
ΔE_f (raw) = 1.02 eV/atom
theoretical density = 5.249 g/cm3
SG = P4/mmm (123)
DFT total energy = -4.693 eV/atom
volume = 80.3 Å³ per cell
energy above the lowest structure with this stoichiometry = 0.548 eV/atom
magnetic moment = 0.0 Bohr magnetons per cell

(4)
Below is a relaxed structure of NaCa2Er, with properties calculated at the GGA-PBE level.

```
NaCa2Er
1.0
1.875 1.083 12.266
-1.875 1.083 12.266
0.000 -2.165 12.266
Na Ca Er
1 2 1
Cartesian
0.000 0.000 0.000
0.000 0.000 15.471
0.000 0.000 21.328
0.000 0.000 6.130
```

Values from the calculation:
theoretical density = 3.005 g/cm3
SG = R3m (160)
DFT total energy = -2.366 eV/atom
volume = 149.4 Å³ per cell
energy above the lowest structure with this stoichiometry = 0.000 eV/atom
formation energy = 0.42 eV/f.u.
magnetic moment = 0.7 Bohr magnetons per cell